First-principles (GGA-PBE) data for a relaxed Pr3CdIn2AgPd2 crystal, as listed in OQMD. Values from VASP.

The structure in Quantum ESPRESSO input format:
```
&SYSTEM
  ibrav = 0, nat = 9, ntyp = 5
/
ATOMIC_SPECIES
Pr 140.91 Pr.upf
Cd 112.41 Cd.upf
In 114.82 In.upf
Ag 107.87 Ag.upf
Pd 106.42 Pd.upf
CELL_PARAMETERS angstrom
4.122 0.000 0.000
0.000 6.781 3.929
0.000 -6.781 3.929
ATOMIC_POSITIONS crystal
Pr 0.000 0.000 0.000
Pr 0.000 0.416 0.830
Pr 0.000 0.830 0.416
Cd 0.500 0.673 0.673
In 0.500 0.161 0.415
In 0.500 0.415 0.161
Ag 0.000 0.415 0.415
Pd 0.500 0.088 0.750
Pd 0.500 0.750 0.088
```

Output
* raw total energy: -4.40 eV/atom
* theoretical density: 8.21 Mg/m³
* volume: 24.4 Å³ per atom